First-principles (GGA-PBE) data for Tb5Pm3Nd after structural relaxation, as listed in Alexandria via LeMat-Bulk.

Cell: 10.663 10.663 11.556 Å, 120.37 120.37 33.41°
Atoms (fractional coordinates):
Tb 0.043 0.677 0.358
Tb 0.083 0.917 0.750
Tb 0.116 0.526 0.662
Tb 0.323 0.957 0.142
Tb 0.474 0.884 0.838
Tb 0.526 0.116 0.162
Tb 0.677 0.043 0.858
Tb 0.884 0.474 0.338
Tb 0.917 0.083 0.250
Tb 0.957 0.323 0.642
Pm 0.099 0.536 0.964
Pm 0.464 0.901 0.536
Pm 0.500 0.500 0.000
Pm 0.500 0.500 0.500
Pm 0.536 0.099 0.464
Pm 0.901 0.464 0.036
Nd 0.401 0.599 0.250
Nd 0.599 0.401 0.750

## Properties
ρ in kg/m³: 7425
E_form in eV/atom: 0.300
Energy above the most stable polymorph in this dataset in meV/atom: 46